[1]
The following is a DFT calculation (PBE) of an optimized crystal structure of PmNd6Ho.

```
data_PmNd6Ho
_chemical_formula_sum 'Pm1 Nd6 Ho1'
_cell_length_a 5.171
_cell_length_b 5.171
_cell_length_c 10.338
_cell_angle_alpha 90.00
_cell_angle_beta 90.00
_cell_angle_gamma 90.00
_space_group_name_H-M_alt 'P 4/m m m'
_space_group_IT_number 123
_space_group_name_Hall '-P 4 2'
loop_
_atom_site_label
_atom_site_type_symbol
_atom_site_fract_x
_atom_site_fract_y
_atom_site_fract_z
Pm1 Pm 0.000 0.000 0.000
Nd1 Nd 0.000 0.500 0.252
Nd2 Nd 0.500 0.500 0.000
Nd3 Nd 0.500 0.500 0.500
Ho1 Ho 0.000 0.000 0.500
```

DFT formation energy ... 0.124 eV/f.u.
Energy ... -4.726 eV/atom

***

[2]
The following is a DFT calculation (PBE) of an optimized crystal structure of Pm7Nd12Ho.

```
data_Pm7Nd12Ho
_chemical_formula_sum 'Pm21 Nd36 Ho3'
_cell_length_a 12.3520
_cell_length_b 12.3520
_cell_length_c 16.0624
_cell_angle_alpha 90.00
_cell_angle_beta 90.00
_cell_angle_gamma 120.00
_space_group_name_H-M_alt 'R -3'
_space_group_IT_number 148
_space_group_name_Hall '-R 3'
loop_
_atom_site_label
_atom_site_type_symbol
_atom_site_fract_x
_atom_site_fract_y
_atom_site_fract_z
Pm1 Pm 0.0000 0.0000 0.0000
Pm2 Pm 0.0564 0.1875 0.2953
Nd1 Nd 0.0233 0.4471 0.2217
Nd2 Nd 0.0562 0.5896 0.5811
Ho1 Ho 0.0000 0.0000 0.5000
```

DFT formation energy ... 4.372 eV/f.u.
Energy ... -4.534 eV/atom

***

[3]
The following is a DFT calculation (PBE) of an optimized crystal structure of Pm10NdHo6.

```
data_Pm10NdHo6
_chemical_formula_sum 'Pm10 Nd1 Ho6'
_cell_length_a 9.8156
_cell_length_b 9.8156
_cell_length_c 6.8917
_cell_angle_alpha 90.00
_cell_angle_beta 90.00
_cell_angle_gamma 120.00
_space_group_name_H-M_alt 'P -3 1 m'
_space_group_IT_number 162
_space_group_name_Hall '-P 3 2'
loop_
_atom_site_label
_atom_site_type_symbol
_atom_site_fract_x
_atom_site_fract_y
_atom_site_fract_z
Pm1 Pm 0.0000 0.2767 0.3175
Pm2 Pm 0.3333 0.6667 0.0000
Pm3 Pm 0.3333 0.6667 0.5000
Nd1 Nd 0.0000 0.0000 0.0000
Ho1 Ho 0.0000 0.3724 0.8077
```

DFT formation energy ... 2.235 eV/f.u.
Energy ... -4.559 eV/atom

***

[4]
The following is a DFT calculation (PBE) of an optimized crystal structure of Pm5Nd12Ho.

```
data_Pm5Nd12Ho
_chemical_formula_sum 'Pm10 Nd24 Ho2'
_cell_length_a 12.122
_cell_length_b 17.411
_cell_length_c 5.923
_cell_angle_alpha 90.00
_cell_angle_beta 90.02
_cell_angle_gamma 90.00
_space_group_name_H-M_alt 'C 1 2/m 1'
_space_group_IT_number 12
loop_
_space_group_symop_operation_xyz
'x,y,z'
'-x,-y,-z'
'-x,y,-z'
'x,-y,z'
'x+1/2,y+1/2,z'
'-x+1/2,-y+1/2,-z'
'-x+1/2,y+1/2,-z'
'x+1/2,-y+1/2,z'
loop_
_atom_site_label
_atom_site_type_symbol
_atom_site_fract_x
_atom_site_fract_y
_atom_site_fract_z
Pm1 Pm 0.000 0.000 0.000
Pm2 Pm 0.000 0.137 0.500
Pm3 Pm 0.000 0.364 0.000
Nd1 Nd 0.152 0.179 0.992
Nd2 Nd 0.152 0.321 0.508
Nd3 Nd 0.198 0.500 0.951
Nd4 Nd 0.201 0.000 0.550
Ho1 Ho 0.000 0.500 0.500
```

DFT formation energy ... 1.376 eV/f.u.
Energy ... -4.676 eV/atom

***

[5]
The following is a DFT calculation (PBE) of an optimized crystal structure of Pm6Nd4Ho.

```
data_Pm6Nd4Ho
_chemical_formula_sum 'Pm12 Nd8 Ho2'
_cell_length_a 7.639
_cell_length_b 7.639
_cell_length_c 13.647
_cell_angle_alpha 90.00
_cell_angle_beta 90.00
_cell_angle_gamma 90.00
_space_group_name_H-M_alt 'I -4 2 m'
_space_group_IT_number 121
_space_group_name_Hall 'I -4 2'
loop_
_atom_site_label
_atom_site_type_symbol
_atom_site_fract_x
_atom_site_fract_y
_atom_site_fract_z
Pm1 Pm 0.000 0.500 0.000
Pm2 Pm 0.225 0.225 0.187
Nd1 Nd 0.173 0.173 0.420
Ho1 Ho 0.000 0.000 0.000
```

DFT formation energy ... 4.130 eV/f.u.
Energy ... -4.366 eV/atom

***

[6]
The following is a DFT calculation (PBE) of an optimized crystal structure of Pm4Nd15Ho.

```
data_Pm4Nd15Ho
_chemical_formula_sum 'Pm4 Nd15 Ho1'
_cell_length_a 5.192
_cell_length_b 5.192
_cell_length_c 25.892
_cell_angle_alpha 90.00
_cell_angle_beta 90.00
_cell_angle_gamma 90.00
_space_group_name_H-M_alt 'P 4/m m m'
_space_group_IT_number 123
_space_group_name_Hall '-P 4 2'
loop_
_atom_site_label
_atom_site_type_symbol
_atom_site_fract_x
_atom_site_fract_y
_atom_site_fract_z
Pm1 Pm 0.000 0.000 0.100
Pm2 Pm 0.000 0.000 0.301
Nd1 Nd 0.000 0.500 0.000
Nd2 Nd 0.000 0.500 0.201
Nd3 Nd 0.000 0.500 0.401
Nd4 Nd 0.500 0.500 0.100
Nd5 Nd 0.500 0.500 0.301
Nd6 Nd 0.500 0.500 0.500
Ho1 Ho 0.000 0.000 0.500
```

DFT formation energy ... 0.273 eV/f.u.
Energy ... -4.741 eV/atom

***

[7]
The following is a DFT calculation (PBE) of an optimized crystal structure of Pm7NdHo2.

```
data_Pm7NdHo2
_chemical_formula_sum 'Pm14 Nd2 Ho4'
_cell_length_a 8.911
_cell_length_b 16.158
_cell_length_c 5.731
_cell_angle_alpha 90.00
_cell_angle_beta 90.00
_cell_angle_gamma 90.00
_space_group_name_H-M_alt 'C m m m'
_space_group_IT_number 65
_space_group_name_Hall '-C 2 2'
loop_
_atom_site_label
_atom_site_type_symbol
_atom_site_fract_x
_atom_site_fract_y
_atom_site_fract_z
Pm1 Pm 0.000 0.000 0.000
Pm2 Pm 0.000 0.273 0.500
Pm3 Pm 0.179 0.384 0.000
Nd1 Nd 0.000 0.500 0.500
Ho1 Ho 0.000 0.204 0.000
```

DFT formation energy ... 6.479 eV/f.u.
Energy ... -4.070 eV/atom

***

[8]
The following is a DFT calculation (PBE) of an optimized crystal structure of Pm3Nd5Ho4.

```
data_Pm3Nd5Ho4
_chemical_formula_sum 'Pm3 Nd5 Ho4'
_cell_length_a 6.275
_cell_length_b 7.236
_cell_length_c 8.867
_cell_angle_alpha 89.91
_cell_angle_beta 89.98
_cell_angle_gamma 90.00
_space_group_name_H-M_alt 'P -1'
_space_group_IT_number 2
loop_
_space_group_symop_operation_xyz
'x,y,z'
'-x,-y,-z'
loop_
_atom_site_label
_atom_site_type_symbol
_atom_site_fract_x
_atom_site_fract_y
_atom_site_fract_z
Pm1 Pm 0.000 0.000 0.000
Pm2 Pm 0.166 0.748 0.335
Nd1 Nd 0.000 0.500 0.000
Nd2 Nd 0.332 0.000 0.665
Nd3 Nd 0.499 0.252 0.000
Ho1 Ho 0.167 0.253 0.335
Ho2 Ho 0.334 0.500 0.664
```

DFT formation energy ... 0.176 eV/f.u.
Energy ... -4.685 eV/atom